# PBE BeCo2W, relaxed
data_BeCo2W
_cell_length_a 2.622
_cell_length_b 3.518
_cell_length_c 4.994
_cell_angle_alpha 90.00
_cell_angle_beta 90.00
_cell_angle_gamma 90.00
_space_group_name_H-M_alt 'P m m 2'
_space_group_IT_number 25
_space_group_name_Hall 'P 2 -2'
loop_
_atom_site_label
_atom_site_type_symbol
_atom_site_fract_x
_atom_site_fract_y
_atom_site_fract_z
_atom_site_occupancy
Be1 Be 0.000 0.000 0.000 1
Co1 Co 0.000 0.000 0.458 1
Co2 Co 0.500 0.500 0.170 1
W1 W 0.500 0.500 0.702 1
# DOS(E_F) in states/eV/cell: 4.0
# Magnetization in μB/atom: 0.086
# Energy relative to the elements in kJ/mol of atoms: 7

# PBE BeCo2W, relaxed
data_BeCo2W
_cell_length_a 5.306
_cell_length_b 6.615
_cell_length_c 2.652
_cell_angle_alpha 90.00
_cell_angle_beta 90.00
_cell_angle_gamma 90.00
_space_group_name_H-M_alt 'C m m m'
_space_group_IT_number 65
_space_group_name_Hall '-C 2 2'
loop_
_atom_site_label
_atom_site_type_symbol
_atom_site_fract_x
_atom_site_fract_y
_atom_site_fract_z
_atom_site_occupancy
Be1 Be 0.000 0.000 0.000 1
Co1 Co 0.250 0.250 0.500 1
W1 W 0.000 0.500 0.000 1
# DOS(E_F) in states/eV/cell: 5.9
# Magnetization in μB/atom: 0.000
# Energy relative to the elements in kJ/mol of atoms: 7

# PBE BeCoW3, relaxed
data_BeCoW3
_cell_length_a 4.429
_cell_length_b 4.429
_cell_length_c 4.429
_cell_angle_alpha 90.00
_cell_angle_beta 90.00
_cell_angle_gamma 90.00
_space_group_name_H-M_alt 'P m -3 m'
_space_group_IT_number 221
_space_group_name_Hall '-P 4 2 3'
loop_
_atom_site_label
_atom_site_type_symbol
_atom_site_fract_x
_atom_site_fract_y
_atom_site_fract_z
_atom_site_occupancy
Be1 Be 0.000 0.000 0.000 1
Co1 Co 0.500 0.500 0.500 1
W1 W 0.000 0.500 0.500 1
# Energy above the most stable polymorph in this dataset in meV/atom: 663
# DOS(E_F) in states/eV/cell: 4.7
# Magnetization in μB/atom: 0.000
# Energy relative to the elements in kJ/mol of atoms: 157

# PBE BeCo2W, relaxed
data_BeCo2W
_cell_length_a 2.673
_cell_length_b 2.673
_cell_length_c 6.303
_cell_angle_alpha 90.00
_cell_angle_beta 90.00
_cell_angle_gamma 90.00
_space_group_name_H-M_alt 'P 4 m m'
_space_group_IT_number 99
_space_group_name_Hall 'P 4 -2'
loop_
_atom_site_label
_atom_site_type_symbol
_atom_site_fract_x
_atom_site_fract_y
_atom_site_fract_z
_atom_site_occupancy
Be1 Be 0.000 0.000 0.000 1
Co1 Co 0.000 0.000 0.431 1
Co2 Co 0.500 0.500 0.190 1
W1 W 0.500 0.500 0.730 1
# DOS(E_F) in states/eV/cell: 4.4
# Magnetization in μB/atom: 0.467
# Energy relative to the elements in kJ/mol of atoms: 3